[1]
# CaSbS2, relaxed, DFT PBE
data_CaSbS2
_space_group_name_H-M_alt 'R -3 m'
_space_group_IT_number 166
_space_group_name_Hall '-R 3 2"'
_cell_length_a 3.9956
_cell_length_b 3.9956
_cell_length_c 24.4596
_cell_angle_alpha 90.00
_cell_angle_beta 90.00
_cell_angle_gamma 120.00
loop_
_atom_site_label
_atom_site_fract_x
_atom_site_fract_y
_atom_site_fract_z
Ca1 0.0000 0.0000 0.0000
Sb1 0.0000 0.0000 0.5000
S1 0.0000 0.0000 0.3970
# Formation energy without anion corrections: -0.78 eV per atom
# Volume: 28.181 Å³ per atom
# Energy: -52.55 eV/cell

=====

[2]
# Cs2PH, relaxed, DFT PBE
data_Cs2PH
_space_group_name_H-M_alt 'C m c m'
_space_group_IT_number 63
_space_group_name_Hall '-C 2c 2'
_cell_length_a 4.5192
_cell_length_b 17.5192
_cell_length_c 9.0293
_cell_angle_alpha 90.00
_cell_angle_beta 90.00
_cell_angle_gamma 90.00
loop_
_atom_site_label
_atom_site_fract_x
_atom_site_fract_y
_atom_site_fract_z
Cs1 0.0000 0.1014 0.0049
P1 0.0000 0.4937 0.2500
H1 0.0000 0.4104 0.2500
# Volume: 44.680 Å³ per atom
# Polymorph energy (0 for the lowest one): 0.0265 eV/atom
# Energy: -45.02 eV/cell

=====

[3]
# Ho5Tl6Pb, relaxed, DFT PBE
data_Ho5Tl6Pb
_space_group_name_H-M_alt 'I m m m'
_space_group_IT_number 71
_space_group_name_Hall '-I 2 2'
_cell_length_a 4.8951
_cell_length_b 8.9473
_cell_length_c 14.9312
_cell_angle_alpha 90.00
_cell_angle_beta 90.00
_cell_angle_gamma 90.00
loop_
_atom_site_label
_atom_site_fract_x
_atom_site_fract_y
_atom_site_fract_z
Ho1 0.0000 0.0000 0.0000
Ho2 0.0000 0.0000 0.3566
Ho3 0.0000 0.5000 0.3244
Tl1 0.0000 0.2408 0.1715
Tl2 0.0000 0.2736 0.5000
Pb1 0.0000 0.5000 0.0000
# Energy relative to the elements: -285 meV per atom
# Volume: 27.248 Å³ per atom
# Energy: -88.43 eV/cell

=====

[4]
# BeZn2Ag, relaxed, DFT PBE
data_BeZn2Ag
_space_group_name_H-M_alt 'F -4 3 m'
_space_group_IT_number 216
_space_group_name_Hall 'F -4 2 3'
_cell_length_a 6.0480
_cell_length_b 6.0480
_cell_length_c 6.0480
_cell_angle_alpha 90.00
_cell_angle_beta 90.00
_cell_angle_gamma 90.00
loop_
_atom_site_label
_atom_site_fract_x
_atom_site_fract_y
_atom_site_fract_z
Be1 0.0000 0.0000 0.0000
Zn1 0.0000 0.0000 0.5000
Zn2 0.2500 0.2500 0.7500
Ag1 0.2500 0.2500 0.2500
# Energy relative to the elements: 156 meV per atom
# Volume: 13.826 Å³ per atom
# Energy: -34.01 eV/cell

=====

[5]
# Ge2RuSe6, relaxed, DFT PBE
data_Ge2RuSe6
_space_group_name_H-M_alt 'C 1 2/c 1'
_space_group_IT_number 15
_space_group_name_Hall '-C 2yc'
_cell_length_a 12.1702
_cell_length_b 11.0185
_cell_length_c 6.4931
_cell_angle_alpha 90.00
_cell_angle_beta 100.59
_cell_angle_gamma 90.00
loop_
_atom_site_label
_atom_site_fract_x
_atom_site_fract_y
_atom_site_fract_z
Ge1 0.1968 0.0858 0.3440
Ru1 0.0000 0.3938 0.2500
Se1 0.0982 0.4141 0.6267
Se2 0.1195 0.0972 0.6616
Se3 0.1300 0.2606 0.1250
# Formation energy without anion corrections: -0.14 eV per atom
# Volume: 23.775 Å³ per atom
# Energy: -162.89 eV/cell

=====

[6]
# Rb3Pr3InTe8, relaxed, DFT PBE
data_Rb3Pr3InTe8
_space_group_name_H-M_alt 'C 1 2/m 1'
_space_group_IT_number 12
_space_group_name_Hall '-C 2y'
_cell_length_a 15.7696
_cell_length_b 9.0870
_cell_length_c 10.3206
_cell_angle_alpha 90.00
_cell_angle_beta 120.66
_cell_angle_gamma 90.00
loop_
_atom_site_label
_atom_site_fract_x
_atom_site_fract_y
_atom_site_fract_z
Rb1 0.0000 0.0000 0.0000
Rb2 0.2500 0.2500 0.0000
Pr1 0.0000 0.5000 0.5000
Pr2 0.2500 0.2500 0.5000
In1 0.0000 0.0000 0.5000
Te1 0.0139 0.2408 0.3009
Te2 0.2265 0.0000 0.6988
Te3 0.2359 0.5000 0.7077
# Formation energy without anion corrections: -1.09 eV per atom
# Volume: 42.406 Å³ per atom
# Energy: -123.01 eV/cell

=====

[7]
# ScPtRh, relaxed, DFT PBE
data_ScPtRh
_space_group_name_H-M_alt 'P -6 m 2'
_space_group_IT_number 187
_space_group_name_Hall 'P -6 2'
_cell_length_a 4.4113
_cell_length_b 4.4113
_cell_length_c 2.9126
_cell_angle_alpha 90.00
_cell_angle_beta 90.00
_cell_angle_gamma 120.00
loop_
_atom_site_label
_atom_site_fract_x
_atom_site_fract_y
_atom_site_fract_z
Sc1 0.0000 0.0000 0.0000
Pt1 0.3333 0.6667 0.5000
Rh1 0.6667 0.3333 0.0000
# Energy relative to the elements: -678 meV per atom
# Volume: 16.361 Å³ per atom
# Polymorph energy (0 for the lowest one): 0.0430 eV/atom
# Energy: -21.76 eV/cell

=====

[8]
# MgGaSb2, relaxed, DFT PBE
data_MgGaSb2
_space_group_name_H-M_alt 'F m -3 m'
_space_group_IT_number 225
_space_group_name_Hall '-F 4 2 3'
_cell_length_a 7.2872
_cell_length_b 7.2872
_cell_length_c 7.2872
_cell_angle_alpha 90.00
_cell_angle_beta 90.00
_cell_angle_gamma 90.00
loop_
_atom_site_label
_atom_site_fract_x
_atom_site_fract_y
_atom_site_fract_z
Mg1 0.0000 0.0000 0.0000
Ga1 0.0000 0.0000 0.5000
Sb1 0.2500 0.2500 0.2500
# Formation energy without anion corrections: 0.02 eV per atom
# Volume: 24.186 Å³ per atom
# Polymorph energy (0 for the lowest one): 0.0848 eV/atom
# Energy: -51.20 eV/cell